No. 1
NpIn2AgO6: optimized geometry, PBE-GGA. Values from VASP.

```
&SYSTEM
  ibrav = 0, nat = 10, ntyp = 4
/
ATOMIC_SPECIES
Np 237.00 Np.upf
In 114.82 In.upf
Ag 107.87 Ag.upf
O 16.00 O.upf
ATOMIC_POSITIONS angstrom
Np 2.862 1.652 0.200
In 5.724 3.305 2.126
In 2.863 1.653 4.890
Ag 8.587 4.957 3.193
O 4.818 1.613 1.160
O 4.712 4.935 1.160
O 7.642 3.365 1.161
O 6.334 4.800 3.833
O 6.715 2.031 3.834
O 4.126 3.085 3.833
CELL_PARAMETERS angstrom
5.724 0.000 0.001
2.862 4.957 0.001
2.863 1.653 5.061
```

Properties
E_form (uncorrected) = -1.680 eV/atom
E = -6.78 eV per atom

***

No. 2
NpInAgPt: optimized geometry, PBE-GGA. Values from VASP.

```
&SYSTEM
  ibrav = 0, nat = 4, ntyp = 4
/
ATOMIC_SPECIES
Np 237.00 Np.upf
Ag 107.87 Ag.upf
Pt 195.08 Pt.upf
In 114.82 In.upf
ATOMIC_POSITIONS angstrom
Np 0.000 0.000 0.000
Ag 2.458 1.419 1.004
Pt 7.375 4.258 3.011
In 4.916 2.839 2.007
CELL_PARAMETERS angstrom
4.916 0.000 0.000
2.458 4.258 0.000
2.458 1.419 4.014
```

Properties
E = -6.30 eV per atom
DFT formation energy = -0.15 eV/atom

***

No. 3
NpIn2Ag2S6: optimized geometry, PBE-GGA. Values from VASP.

```
&SYSTEM
  ibrav = 0, nat = 11, ntyp = 4
/
ATOMIC_SPECIES
Np 237.00 Np.upf
In 114.82 In.upf
Ag 107.87 Ag.upf
S 32.06 S.upf
ATOMIC_POSITIONS angstrom
Np 0.782 1.302 2.939
In 4.202 -0.224 1.848
In 1.524 -2.477 3.559
Ag -0.847 -5.116 1.634
Ag 5.009 -0.191 -2.107
S 4.087 -1.872 3.932
S 3.413 1.938 3.333
S 1.640 -0.830 1.474
S 0.658 -0.379 5.093
S 2.313 -4.640 2.073
S 5.068 -2.323 0.314
CELL_PARAMETERS angstrom
-1.899 -6.001 2.306
6.061 0.694 -2.779
1.565 2.605 5.879
```

Properties
E_form (uncorrected) = -0.566 eV/atom
E = -5.01 eV per atom

***

No. 4
NpInAgS4: optimized geometry, PBE-GGA. Values from VASP.

```
&SYSTEM
  ibrav = 0, nat = 14, ntyp = 4
/
ATOMIC_SPECIES
Np 237.00 Np.upf
In 114.82 In.upf
Ag 107.87 Ag.upf
S 32.06 S.upf
ATOMIC_POSITIONS angstrom
Np 0.000 0.000 0.000
Np 3.853 4.486 3.275
In 5.780 1.060 3.258
In 1.927 1.060 3.258
Ag 7.707 4.453 0.766
Ag 7.707 4.520 5.784
S 11.560 6.810 4.712
S 7.707 6.896 4.775
S 7.707 2.077 1.776
S 3.853 2.162 1.838
S 5.639 5.688 1.668
S 9.774 5.688 1.668
S 5.639 3.284 4.882
S 9.774 3.284 4.882
CELL_PARAMETERS angstrom
7.707 0.000 0.000
3.853 6.853 0.034
3.853 2.120 6.517
```

Properties
E_form (uncorrected) = -0.735 eV/atom
E = -5.74 eV per atom

***

No. 5
NpInAgSn: optimized geometry, PBE-GGA. Values from VASP.

```
&SYSTEM
  ibrav = 0, nat = 4, ntyp = 4
/
ATOMIC_SPECIES
Np 237.00 Np.upf
Sn 118.71 Sn.upf
Ag 107.87 Ag.upf
In 114.82 In.upf
ATOMIC_POSITIONS angstrom
Np 0.000 0.000 0.000
Sn -0.014 -0.867 -3.031
Ag -0.029 -1.734 -6.062
In -0.043 -2.601 -9.094
CELL_PARAMETERS angstrom
-1.024 1.535 -4.806
2.906 -1.667 -3.909
-1.939 -3.335 -3.409
```

Properties
E = -5.49 eV per atom
DFT formation energy = 0.14 eV/atom

***

No. 6
Np2InAgTe4: optimized geometry, PBE-GGA. Values from VASP.

```
&SYSTEM
  ibrav = 0, nat = 16, ntyp = 4
/
ATOMIC_SPECIES
Np 237.00 Np.upf
In 114.82 In.upf
Ag 107.87 Ag.upf
Te 127.60 Te.upf
ATOMIC_POSITIONS angstrom
Np 0.000 5.495 8.883
Np 2.222 1.948 1.067
Np 2.222 1.948 6.749
Np 0.000 5.495 14.565
In 0.000 1.902 11.724
In 2.222 5.541 3.908
Ag 2.222 5.133 11.724
Ag 0.000 2.309 3.908
Te 0.000 4.053 1.703
Te 2.222 3.390 9.520
Te 2.222 3.390 13.929
Te 0.000 4.053 6.113
Te 0.000 0.000 7.816
Te 0.000 0.000 0.000
Te 0.000 6.807 11.724
Te 2.222 0.635 3.908
CELL_PARAMETERS angstrom
4.444 0.000 0.000
-2.222 7.443 0.000
0.000 0.000 15.632
```

Properties
E_form (uncorrected) = -0.450 eV/atom
E = -5.95 eV per atom

***

No. 7
NpZnInAg: optimized geometry, PBE-GGA. Values from VASP.

```
&SYSTEM
  ibrav = 0, nat = 4, ntyp = 4
/
ATOMIC_SPECIES
Np 237.00 Np.upf
Zn 65.41 Zn.upf
Ag 107.87 Ag.upf
In 114.82 In.upf
ATOMIC_POSITIONS angstrom
Np 7.425 4.287 3.031
Zn 4.950 2.858 2.021
Ag 0.000 0.000 0.000
In 2.475 1.429 1.010
CELL_PARAMETERS angstrom
4.950 0.000 0.000
2.475 4.287 0.000
2.475 1.429 4.042
```

Properties
E = -4.83 eV per atom
DFT formation energy = 0.12 eV/atom

***

No. 8
InAg2O: optimized geometry, PBE-GGA. Values from VASP.

```
&SYSTEM
  ibrav = 0, nat = 8, ntyp = 3
/
ATOMIC_SPECIES
O 16.00 O.upf
Ag 107.87 Ag.upf
In 114.82 In.upf
ATOMIC_POSITIONS angstrom
O -1.294 -4.366 2.728
O 0.328 -6.096 5.895
Ag -3.463 -3.477 2.347
Ag 0.625 -4.554 4.114
Ag -2.034 -5.863 5.923
Ag -3.891 -9.499 8.002
In 0.000 0.000 0.000
In -4.710 -5.600 4.298
CELL_PARAMETERS angstrom
-6.333 -3.870 1.131
3.744 -4.862 4.325
-1.793 -2.964 4.736
```

Properties
E_form (uncorrected) = -0.062 eV/atom
E = -3.41 eV per atom

***

No. 9
In2AgO: optimized geometry, PBE-GGA. Values from VASP.

```
&SYSTEM
  ibrav = 0, nat = 8, ntyp = 3
/
ATOMIC_SPECIES
O 16.00 O.upf
Ag 107.87 Ag.upf
In 114.82 In.upf
ATOMIC_POSITIONS angstrom
O 3.347 3.347 0.000
O 3.347 6.694 1.852
Ag 0.000 0.000 0.000
Ag 6.694 3.347 1.852
In 4.578 1.673 0.926
In 2.116 5.020 0.926
In 5.020 5.463 2.778
In 8.367 7.925 2.778
CELL_PARAMETERS angstrom
6.694 0.000 0.000
0.000 6.694 0.000
3.347 3.347 3.703
```

Properties
E_form (uncorrected) = -0.414 eV/atom
E = -3.74 eV per atom

***

No. 10
InAg2O: optimized geometry, PBE-GGA. Values from VASP.

```
&SYSTEM
  ibrav = 0, nat = 4, ntyp = 3
/
ATOMIC_SPECIES
O 16.00 O.upf
Ag 107.87 Ag.upf
In 114.82 In.upf
ATOMIC_POSITIONS angstrom
O 0.000 0.000 0.000
Ag -2.629 0.256 -0.957
Ag -7.888 0.768 -2.870
In -5.258 0.512 -1.913
CELL_PARAMETERS angstrom
-3.314 -2.031 -2.438
-4.393 0.529 1.213
-2.810 2.526 -2.602
```

Properties
E_form (uncorrected) = 0.149 eV/atom
E = -3.20 eV per atom

***

No. 11
In2AgOsO8: optimized geometry, PBE-GGA. Values from VASP.

```
&SYSTEM
  ibrav = 0, nat = 12, ntyp = 4
/
ATOMIC_SPECIES
In 114.82 In.upf
Ag 107.87 Ag.upf
Os 190.23 Os.upf
O 16.00 O.upf
ATOMIC_POSITIONS angstrom
In 1.358 -5.394 2.382
In 1.071 -3.563 -0.409
Ag 0.065 -1.924 2.781
Os 0.000 0.000 0.000
O 3.141 -2.665 -0.351
O 1.638 -3.632 -2.551
O -1.019 -4.043 -1.076
O -0.712 -6.293 2.324
O 0.791 -5.325 4.524
O 3.449 -4.915 3.049
O 1.668 -5.475 0.286
O 0.761 -3.483 1.687
CELL_PARAMETERS angstrom
-2.141 -3.524 -2.529
4.440 -1.586 -1.060
0.130 -3.848 5.562
```

Properties
E_form (uncorrected) = -0.926 eV/atom
E = -5.86 eV per atom

***

No. 12
In2Ag3P3O12: optimized geometry, PBE-GGA. Values from VASP.

```
&SYSTEM
  ibrav = 0, nat = 40, ntyp = 4
/
ATOMIC_SPECIES
In 114.82 In.upf
Ag 107.87 Ag.upf
P 30.97 P.upf
O 16.00 O.upf
ATOMIC_POSITIONS angstrom
In -3.835 -0.498 6.668
In -2.086 -3.539 2.683
In -9.905 -2.922 7.175
In -8.156 -5.963 3.190
Ag -8.460 2.433 7.704
Ag -5.113 -6.292 6.057
Ag -3.532 -8.894 2.154
Ag -6.879 -0.169 3.801
Ag -5.996 -3.230 4.929
Ag -5.694 -2.497 1.656
P -7.208 -0.830 7.088
P -8.550 -5.947 6.452
P -2.803 -3.698 6.216
P -9.189 -2.763 3.642
P -3.441 -0.514 3.406
P -4.783 -5.631 2.770
O -1.346 -2.947 0.761
O -6.155 -5.257 3.411
O -4.075 -4.279 2.455
O -9.813 -5.075 6.827
O -9.673 -2.226 5.043
O -8.394 -7.079 7.538
O -4.937 -6.434 1.441
O -5.837 -1.204 6.447
O -8.007 0.050 6.076
O -3.597 0.618 2.321
O -10.645 -3.514 9.097
O -9.526 -4.304 3.561
O -7.054 -0.027 8.418
O -7.696 -2.521 3.437
O -7.917 -2.182 7.403
O -3.131 0.187 4.764
O -8.861 -6.647 5.094
O -4.296 -3.940 6.421
O -2.319 -4.234 4.816
O -3.984 -6.510 3.783
O -2.178 -1.386 3.031
O -4.695 -1.380 3.493
O -2.465 -2.157 6.297
O -7.297 -5.081 6.365
CELL_PARAMETERS angstrom
-8.008 3.534 2.795
-3.381 -8.528 0.518
-0.603 -1.467 6.546
```

Properties
E_form (uncorrected) = -1.623 eV/atom
E = -6.11 eV per atom